Entry from OQMD: crystalline GdScCo at its relaxed geometry (PBE).

Computed properties:
The value obtained for the formation energy is 0.796 eV per atom. As for the energy above the lowest structure with this stoichiometry: 0.44 eV per formula unit. The total moment is 0.05 μB/cell. The theoretical density comes out at 6.48 g/cm3. The value obtained for the total DFT energy (no corrections) is -62.8 eV for the cell shown.

Unit cell a=6.445 b=6.445 c=6.445 alpha=90.00 beta=90.00 gamma=90.00
Space group F-43m (No. 216)
Inequivalent atoms, fractional coordinates:
Gd1 0.000 0.000 0.000 (multiplicity 4)
Sc1 0.250 0.250 0.250 (multiplicity 4)
Co1 0.250 0.250 0.750 (multiplicity 4)

Entry from OQMD: crystalline Li2Sc2GaPd2Pb at its relaxed geometry (PBE).

Computed properties:
The total moment is 0.00 μB/cell. The theoretical density comes out at 7.21 g/cm3. The value obtained for the total DFT energy (no corrections) is -38.7 eV for the cell shown.

Unit cell a=4.554 b=4.554 c=6.594 alpha=90.00 beta=90.00 gamma=90.00
Space group P-4m2 (No. 115)
Inequivalent atoms, fractional coordinates:
Li1 0.000 0.500 0.232 (multiplicity 2)
Sc1 0.000 0.000 0.000 (multiplicity 1)
Sc2 0.500 0.500 0.500 (multiplicity 1)
Ga1 0.500 0.500 0.000 (multiplicity 1)
Pd1 0.000 0.500 0.770 (multiplicity 2)
Pb1 0.000 0.000 0.500 (multiplicity 1)